(1)
# SmDyRh

A geometry-optimized SmDyRh structure (PBE-GGA, Alexandria via LeMat-Bulk).

```
SmDyRh
1.0
4.445 0.013 -1.134
-0.306 4.435 -1.134
-0.337 -0.362 7.957
Sm Dy Rh
2 2 2
direct
0.313 0.313 0.126
0.687 0.687 0.874
0.000 0.500 0.500
0.500 0.000 0.500
0.874 0.874 0.249
0.126 0.126 0.751
```

Properties
* energy of formation: -523 meV per atom
* symmetry: I4/mmm (139)
* relative energy among the computed polymorphs: 0.05 eV per formula unit

(2)
# HfNbSbTe2

A geometry-optimized HfNbSbTe2 structure (PBE-GGA, Alexandria via LeMat-Bulk).

```
HfNbSbTe2
1.0
-3.393 1.673 -3.760
0.629 -4.605 -2.617
-4.105 -2.127 2.757
Sb Nb Te Hf
1 1 2 1
direct
0.000 0.000 0.500
0.000 0.000 0.000
0.000 0.500 0.000
0.500 0.000 0.000
0.500 0.500 0.500
```

Properties
* formation energy without anion corrections: 0.68 eV per atom
* symmetry: P4/mmm (123)
* relative energy among the computed polymorphs: 0.00 eV per formula unit

(3)
# AcSO4

A geometry-optimized AcSO4 structure (PBE-GGA, Alexandria via LeMat-Bulk).

```
AcSO4
1.0
4.465 -0.580 0.000
-2.988 6.243 0.000
0.000 0.000 7.669
Ac S O
2 2 8
direct
0.977 0.669 0.750
0.023 0.331 0.250
0.996 0.179 0.750
0.004 0.821 0.250
0.590 0.813 0.750
0.410 0.187 0.250
0.296 0.141 0.750
0.704 0.859 0.250
0.947 0.665 0.092
0.053 0.335 0.592
0.947 0.665 0.408
0.053 0.335 0.908
```

Properties
* formation energy without anion corrections: -2.01 eV per atom
* symmetry: P2_1/m (11)
* relative energy among the computed polymorphs: 0.00 eV per formula unit

(4)
# Cs3AgPd2F9

A geometry-optimized Cs3AgPd2F9 structure (PBE-GGA, Alexandria via LeMat-Bulk).

```
Cs3AgPd2F9
1.0
-0.159 5.794 2.465
-5.365 -2.908 -1.558
-0.418 -3.031 7.099
Cs Ag Pd F
3 1 2 9
direct
0.333 0.667 0.659
0.000 0.000 0.000
0.667 0.333 0.341
0.000 0.000 0.500
0.333 0.667 0.157
0.667 0.333 0.843
0.826 0.174 0.682
0.826 0.651 0.682
0.349 0.174 0.682
0.651 0.826 0.318
0.174 0.349 0.318
0.174 0.826 0.318
0.500 0.000 0.000
0.000 0.500 0.000
0.500 0.500 0.000
```

Properties
* formation energy without anion corrections: -1.89 eV per atom
* symmetry: P-3m1 (164)

(5)
# Rb2CoI7

A geometry-optimized Rb2CoI7 structure (PBE-GGA, Alexandria via LeMat-Bulk).

```
Rb2CoI7
1.0
8.772 0.000 0.000
0.000 8.772 0.000
4.386 4.386 6.031
I Co Rb
7 1 2
direct
0.000 0.000 0.000
0.246 0.246 0.508
0.754 0.754 0.492
0.293 0.293 0.000
0.707 0.707 0.000
0.707 0.293 0.000
0.293 0.707 0.000
0.500 0.500 0.000
0.750 0.250 0.500
0.250 0.750 0.500
```

Properties
* formation energy without anion corrections: -0.52 eV per atom
* symmetry: I4/mmm (139)

(6)
# ZrW

A geometry-optimized ZrW structure (PBE-GGA, Alexandria via LeMat-Bulk).

```
ZrW
1.0
2.978 0.000 -0.001
0.000 4.550 0.000
-1.157 0.000 5.591
Zr W
2 2
direct
0.854 0.250 0.134
0.146 0.750 0.866
0.396 0.250 0.606
0.604 0.750 0.394
```

Properties
* energy of formation: 159 meV per atom
* symmetry: P2_1/m (11)

(7)
# TaOsAu2

A geometry-optimized TaOsAu2 structure (PBE-GGA, Alexandria via LeMat-Bulk).

```
TaOsAu2
1.0
0.000 3.232 3.232
3.232 0.000 3.232
3.232 3.232 0.000
Os Au Ta
1 2 1
direct
0.500 0.500 0.500
0.250 0.250 0.250
0.750 0.750 0.750
0.000 0.000 0.000
```

Properties
* energy of formation: 443 meV per atom
* symmetry: Fm-3m (225)
* relative energy among the computed polymorphs: 1.63 eV per formula unit

(8)
# Pu2Ga5Au3

A geometry-optimized Pu2Ga5Au3 structure (PBE-GGA, Alexandria via LeMat-Bulk).

```
Pu2Ga5Au3
1.0
-3.859 1.256 4.640
-5.053 -6.884 1.756
3.205 -2.939 7.556
Pu Ga Au
4 10 6
direct
0.128 0.609 0.135
0.628 0.135 0.609
0.872 0.391 0.865
0.372 0.865 0.391
0.383 0.264 0.970
0.883 0.970 0.264
0.617 0.736 0.030
0.117 0.030 0.736
0.483 0.767 0.767
0.517 0.233 0.233
0.750 0.500 0.500
0.250 0.500 0.500
0.017 0.233 0.233
0.983 0.767 0.767
0.367 0.510 0.757
0.867 0.757 0.510
0.633 0.490 0.243
0.133 0.243 0.490
0.250 0.000 0.000
0.750 0.000 0.000
```

Properties
* energy of formation: -395 meV per atom
* symmetry: Ibam (72)